Record 1
A geometry-optimized AgMoN2 structure. Source: Alexandria, functional PBE.

For the density of states at the Fermi level, the calculation gives 9.0 states/eV per cell. The energy relative to the lowest polymorph listed for this composition comes out at 1087 meV per atom.

```
data_AgMoN2
_cell_length_a 3.1109
_cell_length_b 3.1109
_cell_length_c 19.4692
_cell_angle_alpha 90.00
_cell_angle_beta 90.00
_cell_angle_gamma 120.00
_space_group_name_H-M_alt 'R -3 m'
_space_group_IT_number 166
_space_group_name_Hall '-R 3 2"'
loop_
_atom_site_label
_atom_site_type_symbol
_atom_site_fract_x
_atom_site_fract_y
_atom_site_fract_z
Ag1 Ag 0.0000 0.0000 0.0000
Mo1 Mo 0.0000 0.0000 0.5000
N1 N 0.0000 0.0000 0.4032
```

---

Record 2
A geometry-optimized AgMo3N structure. Source: Alexandria, functional PBE.

For the density of states at the Fermi level, the calculation gives 5.8 states/eV per cell. The energy relative to the lowest polymorph listed for this composition comes out at 3509 meV per atom.

```
data_AgMo3N
_cell_length_a 4.782
_cell_length_b 4.782
_cell_length_c 4.782
_cell_angle_alpha 90.00
_cell_angle_beta 90.00
_cell_angle_gamma 90.00
_space_group_name_H-M_alt 'P m -3 m'
_space_group_IT_number 221
_space_group_name_Hall '-P 4 2 3'
loop_
_atom_site_label
_atom_site_type_symbol
_atom_site_fract_x
_atom_site_fract_y
_atom_site_fract_z
Ag1 Ag 0.000 0.000 0.000
Mo1 Mo 0.000 0.000 0.500
N1 N 0.500 0.500 0.500
```

---

Record 3
A geometry-optimized AgMoN2 structure. Source: Alexandria, functional PBE.

For the density of states at the Fermi level, the calculation gives 15.3 states/eV per cell. The energy relative to the lowest polymorph listed for this composition comes out at 1117 meV per atom.

```
data_AgMoN2
_cell_length_a 5.558
_cell_length_b 5.558
_cell_length_c 5.558
_cell_angle_alpha 90.00
_cell_angle_beta 90.00
_cell_angle_gamma 90.00
_space_group_name_H-M_alt 'F m -3 m'
_space_group_IT_number 225
_space_group_name_Hall '-F 4 2 3'
loop_
_atom_site_label
_atom_site_type_symbol
_atom_site_fract_x
_atom_site_fract_y
_atom_site_fract_z
Ag1 Ag 0.000 0.000 0.000
Mo1 Mo 0.000 0.000 0.500
N1 N 0.250 0.250 0.250
```

---

Record 4
A geometry-optimized Na2AgMoN structure. Source: Alexandria, functional PBE.

The uncorrected energy is -23.21 eV for the cell shown. For the density of states at the Fermi level, the calculation gives 2.7 states/eV per cell.

```
data_Na2AgMoN
_cell_length_a 4.826
_cell_length_b 4.826
_cell_length_c 3.982
_cell_angle_alpha 90.00
_cell_angle_beta 90.00
_cell_angle_gamma 90.00
_space_group_name_H-M_alt 'P 4/m m m'
_space_group_IT_number 123
_space_group_name_Hall '-P 4 2'
loop_
_atom_site_label
_atom_site_type_symbol
_atom_site_fract_x
_atom_site_fract_y
_atom_site_fract_z
Na1 Na 0.000 0.500 0.000
Ag1 Ag 0.000 0.000 0.500
Mo1 Mo 0.500 0.500 0.500
N1 N 0.500 0.500 0.000
```

---

Which formula does entry 3 have? AgMoN2